A geometry-optimized NaGeS2Cl structure. Source: Alexandria via LeMat-Bulk, functional PBE.

The space group is P4/mmm (No. 123) and the conventional cell measures 4.975, 4.975 and 4.909 Å, with angles of 90.00, 90.00 and 90.00 degrees. The inequivalent atoms are Na at (0.000, 0.000, 0.000), Ge at (0.500, 0.500, 0.500), S at (0.000, 0.500, 0.000) and Cl at (0.000, 0.000, 0.500).

For the density of states at the Fermi level, the calculation gives 1.116 states/eV/atom. As for the polymorph energy (0 for the lowest one): 4.30 eV/f.u. The energy relative to the elements, uncorrected is 0.443 eV/atom. For the calculated total energy, the calculation gives -2.765 eV/atom.

A geometry-optimized NaGe2SbCl structure. Source: Alexandria via LeMat-Bulk, functional PBE.

The space group is P4/mmm (No. 123) and the conventional cell measures 5.387, 5.387 and 6.243 Å, with angles of 90.00, 90.00 and 90.00 degrees. The inequivalent atoms are Na at (0.000, 0.000, 0.000), Ge at (0.000, 0.500, 0.500), Sb at (0.000, 0.000, 0.500) and Cl at (0.500, 0.500, 0.000).

For the density of states at the Fermi level, the calculation gives 1.037 states/eV/atom. The energy relative to the elements, uncorrected is 0.261 eV/atom. For the calculated total energy, the calculation gives -3.043 eV/atom.

A geometry-optimized NaScGeCl2 structure. Source: Alexandria via LeMat-Bulk, functional PBE.

The space group is P4/mmm (No. 123) and the conventional cell measures 5.031, 5.031 and 5.540 Å, with angles of 90.00, 90.00 and 90.00 degrees. The inequivalent atoms are Na at (0.000, 0.000, 0.000), Sc at (0.500, 0.500, 0.500), Ge at (0.500, 0.500, 0.000) and Cl at (0.000, 0.500, 0.500).

For the density of states at the Fermi level, the calculation gives 0.503 states/eV/atom. The energy relative to the elements, uncorrected is -0.892 eV/atom. For the calculated total energy, the calculation gives -4.084 eV/atom.

A geometry-optimized NaScGe2Cl8 structure. Source: Alexandria via LeMat-Bulk, functional PBE.

The space group is P-1 (No. 2) and the conventional cell measures 6.169, 6.729 and 8.072 Å, with angles of 92.54, 91.19 and 93.19 degrees. The inequivalent atoms are Na at (0.000, 0.000, 0.000), Sc at (0.000, 0.000, 0.500), Ge at (0.467, 0.556, 0.253), Cl at (0.203, 0.175, 0.286), Cl at (0.231, 0.699, 0.468), Cl at (0.257, 0.136, 0.734) and Cl at (0.278, 0.661, 0.024).

For the density of states at the Fermi level, the calculation gives 0.000 states/eV/atom. The energy relative to the elements, uncorrected is -1.380 eV/atom. For the calculated total energy, the calculation gives -4.018 eV/atom.

A geometry-optimized NaScGe2Cl structure. Source: Alexandria via LeMat-Bulk, functional PBE.

The space group is P4/mmm (No. 123) and the conventional cell measures 5.080, 5.080 and 4.779 Å, with angles of 90.00, 90.00 and 90.00 degrees. The inequivalent atoms are Na at (0.000, 0.000, 0.000), Sc at (0.500, 0.500, 0.500), Ge at (0.000, 0.500, 0.000) and Cl at (0.000, 0.000, 0.500).

For the density of states at the Fermi level, the calculation gives 1.107 states/eV/atom. The energy relative to the elements, uncorrected is 0.398 eV/atom. For the calculated total energy, the calculation gives -3.348 eV/atom.

A geometry-optimized Na2GeSeCl structure. Source: Alexandria via LeMat-Bulk, functional PBE.

The space group is P4/mmm (No. 123) and the conventional cell measures 5.538, 5.538 and 5.217 Å, with angles of 90.00, 90.00 and 90.00 degrees. The inequivalent atoms are Na at (0.000, 0.500, 0.000), Ge at (0.000, 0.000, 0.500), Se at (0.000, 0.000, 0.000) and Cl at (0.500, 0.500, 0.500).

For the density of states at the Fermi level, the calculation gives 0.417 states/eV/atom. The energy relative to the elements, uncorrected is -0.524 eV/atom. For the calculated total energy, the calculation gives -3.042 eV/atom.

A geometry-optimized NaSmGe2Cl8 structure. Source: Alexandria via LeMat-Bulk, functional PBE.

The space group is P-1 (No. 2) and the conventional cell measures 6.332, 6.685 and 8.367 Å, with angles of 88.72, 89.23 and 87.63 degrees. The inequivalent atoms are Na at (0.000, 0.000, 0.000), Sm at (0.000, 0.000, 0.500), Ge at (0.472, 0.469, 0.241), Cl at (0.209, 0.809, 0.259), Cl at (0.251, 0.853, 0.741), Cl at (0.257, 0.320, 0.466) and Cl at (0.282, 0.339, 0.032).

For the density of states at the Fermi level, the calculation gives 0.000 states/eV/atom. The energy relative to the elements, uncorrected is -1.440 eV/atom. For the calculated total energy, the calculation gives -3.944 eV/atom.

A geometry-optimized NaSnGeCl5 structure. Source: Alexandria via LeMat-Bulk, functional PBE.

The space group is C2/c (No. 15) and the conventional cell measures 9.964, 11.827 and 9.022 Å, with angles of 90.00, 112.12 and 90.00 degrees. The inequivalent atoms are Na at (0.250, 0.250, 0.000), Sn at (0.000, 0.029, 0.250), Ge at (0.000, 0.480, 0.250), Cl at (0.000, 0.183, 0.750), Cl at (0.018, 0.345, 0.072) and Cl at (0.200, 0.014, 0.082).

For the density of states at the Fermi level, the calculation gives 0.000 states/eV/atom. The energy relative to the elements, uncorrected is -1.105 eV/atom. For the calculated total energy, the calculation gives -3.501 eV/atom.

A geometry-optimized Na2SrGeCl6 structure. Source: Alexandria via LeMat-Bulk, functional PBE.

The space group is R3 (No. 146, hexagonal axes) and the conventional cell measures 7.1260, 7.1260 and 19.0436 Å, with angles of 90.00, 90.00 and 120.00 degrees. The inequivalent atoms are Na at (0.0000, 0.0000, 0.0000), Na at (0.0000, 0.0000, 0.4931), Sr at (0.0000, 0.0000, 0.1994), Ge at (0.0000, 0.0000, 0.6928), Cl at (0.0041, 0.7117, 0.6035) and Cl at (0.0298, 0.3485, 0.7650).

For the density of states at the Fermi level, the calculation gives 0.000 states/eV/atom. The energy relative to the elements, uncorrected is -1.681 eV/atom. For the calculated total energy, the calculation gives -3.683 eV/atom.

A geometry-optimized NaTiGeCl2 structure. Source: Alexandria via LeMat-Bulk, functional PBE.

The space group is P4/mmm (No. 123) and the conventional cell measures 5.339, 5.339 and 5.200 Å, with angles of 90.00, 90.00 and 90.00 degrees. The inequivalent atoms are Na at (0.000, 0.000, 0.000), Ti at (0.500, 0.500, 0.000), Ge at (0.500, 0.500, 0.500) and Cl at (0.000, 0.500, 0.500).

For the density of states at the Fermi level, the calculation gives 1.643 states/eV/atom. The energy relative to the elements, uncorrected is 0.099 eV/atom. For the calculated total energy, the calculation gives -3.406 eV/atom.

A geometry-optimized Na2TlGeCl5 structure. Source: Alexandria via LeMat-Bulk, functional PBE.

The space group is Cmc2_1 (No. 36) and the conventional cell measures 4.244, 17.937 and 14.236 Å, with angles of 90.00, 90.00 and 90.00 degrees. The inequivalent atoms are Na at (0.000, 0.136, 0.000), Na at (0.000, 0.150, 0.510), Tl at (0.000, 0.239, 0.256), Ge at (0.000, 0.496, 0.757), Cl at (0.000, 0.062, 0.338), Cl at (0.000, 0.275, 0.924), Cl at (0.000, 0.349, 0.625), Cl at (0.000, 0.404, 0.124) and Cl at (0.000, 0.408, 0.373).

For the density of states at the Fermi level, the calculation gives 0.000 states/eV/atom. The energy relative to the elements, uncorrected is -1.238 eV/atom. For the calculated total energy, the calculation gives -3.333 eV/atom.

A geometry-optimized NaTl2GeCl5 structure. Source: Alexandria via LeMat-Bulk, functional PBE.

The space group is Cmc2_1 (No. 36) and the conventional cell measures 4.121, 18.104 and 14.452 Å, with angles of 90.00, 90.00 and 90.00 degrees. The inequivalent atoms are Na at (0.000, 0.039, 0.000), Tl at (0.000, 0.367, 0.865), Tl at (0.000, 0.405, 0.212), Ge at (0.000, 0.287, 0.584), Cl at (0.000, 0.004, 0.324), Cl at (0.000, 0.112, 0.545), Cl at (0.000, 0.194, 0.962), Cl at (0.000, 0.226, 0.210) and Cl at (0.000, 0.420, 0.611).

For the density of states at the Fermi level, the calculation gives 0.000 states/eV/atom. The energy relative to the elements, uncorrected is -1.099 eV/atom. For the calculated total energy, the calculation gives -3.310 eV/atom.

A geometry-optimized NaTlGe2Cl6 structure. Source: Alexandria via LeMat-Bulk, functional PBE.

The space group is C2/c (No. 15) and the conventional cell measures 14.986, 9.423 and 11.414 Å, with angles of 90.00, 126.72 and 90.00 degrees. The inequivalent atoms are Na at (0.000, 0.188, 0.250), Tl at (0.000, 0.315, 0.750), Ge at (0.189, 0.013, 0.132), Cl at (0.083, 0.198, 0.550), Cl at (0.134, 0.407, 0.245) and Cl at (0.163, 0.044, 0.905).

For the density of states at the Fermi level, the calculation gives 0.000 states/eV/atom. The energy relative to the elements, uncorrected is -1.051 eV/atom. For the calculated total energy, the calculation gives -3.451 eV/atom.

A geometry-optimized NaTmGe2Cl8 structure. Source: Alexandria via LeMat-Bulk, functional PBE.

The space group is P-1 (No. 2) and the conventional cell measures 6.273, 6.664 and 8.222 Å, with angles of 88.44, 89.63 and 87.35 degrees. The inequivalent atoms are Na at (0.000, 0.000, 0.000), Tm at (0.000, 0.000, 0.500), Ge at (0.468, 0.462, 0.246), Cl at (0.208, 0.816, 0.269), Cl at (0.245, 0.312, 0.469), Cl at (0.250, 0.856, 0.735) and Cl at (0.280, 0.339, 0.029).

For the density of states at the Fermi level, the calculation gives 0.000 states/eV/atom. The energy relative to the elements, uncorrected is -1.443 eV/atom. For the calculated total energy, the calculation gives -3.926 eV/atom.

A geometry-optimized NbGe2Cl structure. Source: Alexandria via LeMat-Bulk, functional PBE.

The space group is I-42d (No. 122) and the conventional cell measures 6.127, 6.127 and 12.180 Å, with angles of 90.00, 90.00 and 90.00 degrees. The inequivalent atoms are Nb at (0.000, 0.000, 0.000), Ge at (0.214, 0.250, 0.125) and Cl at (0.000, 0.000, 0.500).

For the density of states at the Fermi level, the calculation gives 0.873 states/eV/atom. The energy relative to the elements, uncorrected is 0.612 eV/atom. For the calculated total energy, the calculation gives -4.676 eV/atom.

A geometry-optimized NbGeCl3 structure. Source: Alexandria via LeMat-Bulk, functional PBE.

The space group is Pm-3m (No. 221) and the conventional cell measures 5.140, 5.140 and 5.140 Å, with angles of 90.00, 90.00 and 90.00 degrees. The inequivalent atoms are Nb at (0.000, 0.000, 0.000), Ge at (0.500, 0.500, 0.500) and Cl at (0.000, 0.500, 0.500).

For the density of states at the Fermi level, the calculation gives 2.300 states/eV/atom. As for the polymorph energy (0 for the lowest one): 2.25 eV/f.u. The energy relative to the elements, uncorrected is 0.303 eV/atom. For the calculated total energy, the calculation gives -3.742 eV/atom.

A geometry-optimized NbGe2Cl structure. Source: Alexandria via LeMat-Bulk, functional PBE.

The space group is Fm-3m (No. 225) and the conventional cell measures 6.703, 6.703 and 6.703 Å, with angles of 90.00, 90.00 and 90.00 degrees. The inequivalent atoms are Nb at (0.000, 0.000, 0.000), Ge at (0.250, 0.250, 0.250) and Cl at (0.000, 0.000, 0.500).

For the density of states at the Fermi level, the calculation gives 1.082 states/eV/atom. The energy relative to the elements, uncorrected is 0.613 eV/atom. For the calculated total energy, the calculation gives -4.675 eV/atom.

A geometry-optimized NbGeCl3 structure. Source: Alexandria via LeMat-Bulk, functional PBE.

The space group is Pm-3m (No. 221) and the conventional cell measures 5.055, 5.055 and 5.055 Å, with angles of 90.00, 90.00 and 90.00 degrees. The inequivalent atoms are Nb at (0.000, 0.000, 0.000), Ge at (0.500, 0.500, 0.500) and Cl at (0.000, 0.000, 0.500).

For the density of states at the Fermi level, the calculation gives 0.695 states/eV/atom. As for the polymorph energy (0 for the lowest one): 0.00 eV/f.u. The energy relative to the elements, uncorrected is -0.147 eV/atom. For the calculated total energy, the calculation gives -4.192 eV/atom.

A geometry-optimized NbGeP2Cl structure. Source: Alexandria via LeMat-Bulk, functional PBE.

The space group is P4/mmm (No. 123) and the conventional cell measures 4.892, 4.892 and 4.789 Å, with angles of 90.00, 90.00 and 90.00 degrees. The inequivalent atoms are Nb at (0.000, 0.000, 0.000), Ge at (0.500, 0.500, 0.500), P at (0.000, 0.500, 0.000) and Cl at (0.000, 0.000, 0.500).

For the density of states at the Fermi level, the calculation gives 0.560 states/eV/atom. As for the polymorph energy (0 for the lowest one): 0.00 eV/f.u. The energy relative to the elements, uncorrected is 0.239 eV/atom. For the calculated total energy, the calculation gives -5.232 eV/atom.

A geometry-optimized NbGeP2Cl structure. Source: Alexandria via LeMat-Bulk, functional PBE.

The space group is P4/mmm (No. 123) and the conventional cell measures 4.670, 4.670 and 4.711 Å, with angles of 90.00, 90.00 and 90.00 degrees. The inequivalent atoms are Nb at (0.000, 0.000, 0.000), Ge at (0.500, 0.500, 0.500), P at (0.000, 0.500, 0.500) and Cl at (0.500, 0.500, 0.000).

For the density of states at the Fermi level, the calculation gives 0.734 states/eV/atom. As for the polymorph energy (0 for the lowest one): 3.01 eV/f.u. The energy relative to the elements, uncorrected is 0.841 eV/atom. For the calculated total energy, the calculation gives -4.630 eV/atom.